Entry 1:
{"formula": "Ta5B2As2", "functional": "PBE", "state": "relaxed", "ef_ev_per_atom": -0.506, "sg": "Cmce, No. 64", "magmom_total_mub_per_cell": 0.0, "energy_ev_per_atom": -9.6075, "lattice": [[6.686, -3.167, 0.000], [6.686, 3.167, 0.000], [0.000, 0.000, 6.322]], "species": ["Ta", "Ta", "Ta", "Ta", "Ta", "Ta", "Ta", "Ta", "Ta", "Ta", "B", "B", "B", "B", "As", "As", "As", "As"], "fractional_positions": [[0.000, 0.000, 0.000], [0.052, 0.712, 0.675], [0.212, 0.552, 0.175], [0.288, 0.948, 0.675], [0.448, 0.788, 0.175], [0.500, 0.500, 0.500], [0.552, 0.212, 0.825], [0.712, 0.052, 0.325], [0.788, 0.448, 0.825], [0.948, 0.288, 0.325], [0.110, 0.890, 0.391], [0.390, 0.610, 0.891], [0.610, 0.390, 0.109], [0.890, 0.110, 0.609], [0.211, 0.211, 0.000], [0.289, 0.289, 0.500], [0.711, 0.711, 0.500], [0.789, 0.789, 0.000]]}

=====

Entry 2:
{"formula": "Tb2Nd3Zn3", "functional": "PBE", "state": "relaxed", "ef_ev_per_atom": -0.231, "sg": "Immm, No. 71", "magmom_total_mub_per_cell": 0.0, "energy_ev_per_atom": -3.6541, "lattice": [[-1.846, 2.664, 10.892], [1.846, -2.664, 10.892], [1.846, 2.664, -10.892]], "species": ["Tb", "Tb", "Nd", "Nd", "Nd", "Zn", "Zn", "Zn"], "fractional_positions": [[0.230, 0.230, 0.000], [0.770, 0.770, 0.000], [0.000, 0.000, 0.000], [0.381, 0.881, 0.500], [0.619, 0.119, 0.500], [0.119, 0.619, 0.500], [0.500, 0.500, 0.000], [0.881, 0.381, 0.500]]}

=====

Entry 3:
{"formula": "Pr4NdZn", "functional": "PBE", "state": "relaxed", "ef_ev_per_atom": -0.095, "sg": "P4/mmm, No. 123", "magmom_total_mub_per_cell": 0.0, "polymorph_energy_ev_per_atom": 0.000, "energy_ev_per_atom": -4.2880, "lattice": [[3.715, 0.000, 0.000], [0.000, 3.715, 0.000], [0.000, 0.000, 14.181]], "species": ["Pr", "Pr", "Pr", "Pr", "Nd", "Zn"], "fractional_positions": [[0.000, 0.000, 0.130], [0.000, 0.000, 0.870], [0.500, 0.500, 0.317], [0.500, 0.500, 0.683], [0.000, 0.000, 0.500], [0.500, 0.500, 0.000]]}

=====

Entry 4:
{"formula": "TaBeW3", "functional": "PBE", "state": "relaxed", "ef_ev_per_atom": 2.607, "sg": "Pm-3m, No. 221", "magmom_total_mub_per_cell": 0.0, "polymorph_energy_ev_per_atom": 1.902, "energy_ev_per_atom": -8.2810, "lattice": [[4.764, 0.000, 0.000], [0.000, 4.764, 0.000], [0.000, 0.000, 4.764]], "species": ["Ta", "Be", "W", "W", "W"], "fractional_positions": [[0.000, 0.000, 0.000], [0.500, 0.500, 0.500], [0.000, 0.000, 0.500], [0.000, 0.500, 0.000], [0.500, 0.000, 0.000]]}

=====

Entry 5:
{"formula": "Pu2NpPt", "functional": "PBE", "state": "relaxed", "ef_ev_per_atom": -0.119, "sg": "P4/mmm, No. 123", "magmom_total_mub_per_cell": 7.0, "polymorph_energy_ev_per_atom": 0.000, "energy_ev_per_atom": -12.0303, "lattice": [[3.480, 0.000, 0.000], [0.000, 3.480, 0.000], [0.000, 0.000, 6.928]], "species": ["Pu", "Pu", "Np", "Pt"], "fractional_positions": [[0.000, 0.000, 0.240], [0.000, 0.000, 0.760], [0.500, 0.500, 0.500], [0.500, 0.500, 0.000]]}

=====

Entry 6:
{"formula": "La2HgGe", "functional": "PBE", "state": "relaxed", "ef_ev_per_atom": -0.637, "sg": "P4/mmm, No. 123", "magmom_total_mub_per_cell": 0.0, "energy_ev_per_atom": -4.3306, "lattice": [[3.929, 0.000, 0.000], [0.000, 3.929, 0.000], [0.000, 0.000, 7.275]], "species": ["La", "La", "Hg", "Ge"], "fractional_positions": [[0.000, 0.000, 0.219], [0.000, 0.000, 0.781], [0.500, 0.500, 0.500], [0.500, 0.500, 0.000]]}

=====

Entry 7:
{"formula": "MnCo3I", "functional": "PBE", "state": "relaxed", "sg": "Pm-3m, No. 221", "magmom_total_mub_per_cell": 2.4, "polymorph_energy_ev_per_atom": 0.690, "energy_ev_per_atom": -4.4161, "lattice": [[4.542, 0.000, 0.000], [0.000, 4.542, 0.000], [0.000, 0.000, 4.542]], "species": ["Mn", "Co", "Co", "Co", "I"], "fractional_positions": [[0.000, 0.000, 0.000], [0.000, 0.500, 0.500], [0.500, 0.000, 0.500], [0.500, 0.500, 0.000], [0.500, 0.500, 0.500]]}

=====

Entry 8:
{"formula": "Cd4CoPt", "functional": "PBE", "state": "relaxed", "ef_ev_per_atom": 0.441, "sg": "F-43m, No. 216", "magmom_total_mub_per_cell": 1.7, "energy_ev_per_atom": -2.3602, "lattice": [[0.000, 3.872, 3.872], [3.872, 0.000, 3.872], [3.872, 3.872, 0.000]], "species": ["Cd", "Cd", "Cd", "Cd", "Co", "Pt"], "fractional_positions": [[0.125, 0.125, 0.125], [0.125, 0.125, 0.625], [0.125, 0.625, 0.125], [0.625, 0.125, 0.125], [0.750, 0.750, 0.750], [0.500, 0.500, 0.500]]}

=====

Entry 9:
{"formula": "Sc2AgIr", "functional": "PBE", "state": "relaxed", "ef_ev_per_atom": -0.100, "sg": "R-3m, No. 166", "magmom_total_mub_per_cell": 0.0, "polymorph_energy_ev_per_atom": 0.566, "energy_ev_per_atom": -6.1938, "lattice": [[1.588, 0.917, 9.561], [-1.588, 0.917, 9.561], [0.000, -1.834, 9.561]], "species": ["Sc", "Sc", "Ag", "Ir"], "fractional_positions": [[0.099, 0.099, 0.099], [0.901, 0.901, 0.901], [0.000, 0.000, 0.000], [0.500, 0.500, 0.500]]}

=====

Entry 10:
{"formula": "Sb4S5Cl2", "functional": "PBE", "state": "relaxed", "sg": "Pnma, No. 62", "magmom_total_mub_per_cell": 0.0, "polymorph_energy_ev_per_atom": 0.000, "energy_ev_per_atom": -4.1092, "lattice": [[11.232, 0.000, 0.000], [0.000, 9.537, 0.000], [0.000, 0.000, 12.318]], "species": ["Sb", "Sb", "Sb", "Sb", "Sb", "Sb", "Sb", "Sb", "Sb", "Sb", "Sb", "Sb", "Sb", "Sb", "Sb", "Sb", "S", "S", "S", "S", "S", "S", "S", "S", "S", "S", "S", "S", "S", "S", "S", "S", "S", "S", "S", "S", "Cl", "Cl", "Cl", "Cl", "Cl", "Cl", "Cl", "Cl"], "fractional_positions": [[0.044, 0.250, 0.002], [0.057, 0.750, 0.536], [0.226, 0.531, 0.149], [0.226, 0.969, 0.149], [0.274, 0.031, 0.649], [0.274, 0.469, 0.649], [0.443, 0.250, 0.036], [0.456, 0.750, 0.502], [0.544, 0.250, 0.498], [0.557, 0.750, 0.964], [0.726, 0.531, 0.351], [0.726, 0.969, 0.351], [0.774, 0.031, 0.851], [0.774, 0.469, 0.851], [0.943, 0.250, 0.464], [0.956, 0.750, 0.998], [0.021, 0.059, 0.140], [0.021, 0.441, 0.140], [0.180, 0.750, 0.024], [0.187, 0.553, 0.476], [0.187, 0.947, 0.476], [0.313, 0.053, 0.976], [0.313, 0.447, 0.976], [0.320, 0.250, 0.524], [0.479, 0.559, 0.640], [0.479, 0.941, 0.640], [0.521, 0.059, 0.360], [0.521, 0.441, 0.360], [0.680, 0.750, 0.476], [0.687, 0.553, 0.024], [0.687, 0.947, 0.024], [0.813, 0.053, 0.524], [0.813, 0.447, 0.524], [0.820, 0.250, 0.976], [0.979, 0.559, 0.860], [0.979, 0.941, 0.860], [0.018, 0.250, 0.659], [0.205, 0.750, 0.719], [0.295, 0.250, 0.219], [0.482, 0.750, 0.159], [0.518, 0.250, 0.841], [0.705, 0.750, 0.781], [0.795, 0.250, 0.281], [0.982, 0.750, 0.341]]}

=====

Entry 11:
{"formula": "Th2Ga5Co4", "functional": "PBE", "state": "relaxed", "ef_ev_per_atom": -0.397, "sg": "Fmmm, No. 69", "magmom_total_mub_per_cell": 0.0, "energy_ev_per_atom": -5.7061, "lattice": [[0.000, 4.655, 7.684], [2.585, 0.000, 7.684], [2.585, 4.655, 0.000]], "species": ["Th", "Th", "Ga", "Ga", "Ga", "Ga", "Ga", "Co", "Co", "Co", "Co"], "fractional_positions": [[0.140, 0.140, 0.860], [0.860, 0.860, 0.140], [0.000, 0.000, 0.500], [0.250, 0.250, 0.250], [0.500, 0.500, 0.000], [0.500, 0.500, 0.500], [0.750, 0.750, 0.750], [0.219, 0.522, 0.478], [0.478, 0.781, 0.219], [0.522, 0.219, 0.781], [0.781, 0.478, 0.522]]}

=====

Entry 12:
{"formula": "TbSm2AlN", "functional": "PBE", "state": "relaxed", "sg": "P4/mmm, No. 123", "magmom_total_mub_per_cell": 0.0, "energy_ev_per_atom": -6.0680, "lattice": [[4.919, 0.000, 0.000], [0.000, 4.919, 0.000], [0.000, 0.000, 4.807]], "species": ["Tb", "Sm", "Sm", "Al", "N"], "fractional_positions": [[0.000, 0.000, 0.000], [0.000, 0.500, 0.500], [0.500, 0.000, 0.500], [0.500, 0.500, 0.000], [0.000, 0.000, 0.500]]}